1.
Entry from Alexandria via LeMat-Bulk: crystalline BiIF2 at its relaxed geometry (PBE).

## Properties
**Symmetry**: I-42d (122)
**D(E_F)**: 0.000 states/eV/atom
**ΔE_f (raw)**: -139.8 kJ per mole of atoms
**Crystal system**: tetragonal
**VASP energy**: -14.97 eV per formula unit

Unit cell a=5.0409 b=5.0409 c=15.1581 alpha=90.00 beta=90.00 gamma=90.00
Atoms (fractional coordinates):
Bi1 0.0000 0.0000 0.0000
Bi2 0.0000 0.5000 0.2500
Bi3 0.5000 0.0000 0.7500
Bi4 0.5000 0.5000 0.5000
I1 0.0000 0.0000 0.5000
I2 0.0000 0.5000 0.7500
I3 0.5000 0.0000 0.2500
I4 0.5000 0.5000 0.0000
F1 0.0170 0.2500 0.1250
F2 0.2500 0.5170 0.3750
F3 0.2500 0.9830 0.8750
F4 0.4830 0.2500 0.6250
F5 0.5170 0.7500 0.6250
F6 0.7500 0.0170 0.8750
F7 0.7500 0.4830 0.3750
F8 0.9830 0.7500 0.1250

---

2.
Entry from Alexandria via LeMat-Bulk: crystalline NbFe2BAs at its relaxed geometry (PBE).

## Properties
**Symmetry**: P4/mmm (123)
**D(E_F)**: 1.180 states/eV/atom
**Crystal system**: tetragonal
**DFT formation energy**: 8.026 eV/f.u.
**VASP energy**: -30.30 eV per formula unit

Unit cell a=4.6155 b=4.6155 c=4.2702 alpha=90.00 beta=90.00 gamma=90.00
Atoms (fractional coordinates):
Nb1 0.0000 0.0000 0.0000
Fe1 0.0000 0.5000 0.0000
Fe2 0.5000 0.0000 0.0000
B1 0.0000 0.0000 0.5000
As1 0.5000 0.5000 0.5000

---

3.
Entry from Alexandria via LeMat-Bulk: crystalline AlSbCl2 at its relaxed geometry (PBE).

## Properties
**Symmetry**: I-42d (122)
**D(E_F)**: 0.275 states/eV/atom
**ΔE_f (raw)**: 1.3 kJ per mole of atoms
**Crystal system**: tetragonal
**VASP energy**: -11.51 eV per formula unit

Unit cell a=7.3208 b=7.3208 c=10.2638 alpha=90.00 beta=90.00 gamma=90.00
Atoms (fractional coordinates):
Al1 0.0000 0.0000 0.0000
Al2 0.0000 0.5000 0.2500
Al3 0.5000 0.0000 0.7500
Al4 0.5000 0.5000 0.5000
Sb1 0.0000 0.0000 0.5000
Sb2 0.0000 0.5000 0.7500
Sb3 0.5000 0.0000 0.2500
Sb4 0.5000 0.5000 0.0000
Cl1 0.0718 0.7500 0.1250
Cl2 0.2500 0.0718 0.8750
Cl3 0.2500 0.4282 0.3750
Cl4 0.4282 0.7500 0.6250
Cl5 0.5718 0.2500 0.6250
Cl6 0.7500 0.5718 0.3750
Cl7 0.7500 0.9282 0.8750
Cl8 0.9282 0.2500 0.1250

---

4.
Entry from Alexandria via LeMat-Bulk: crystalline CdTe2Rh at its relaxed geometry (PBE).

## Properties
**Symmetry**: P4/mmm (123)
**D(E_F)**: 0.658 states/eV/atom
**ΔE_f (raw)**: 1.8 kJ per mole of atoms
**Crystal system**: tetragonal
**VASP energy**: -14.48 eV per formula unit

Unit cell a=3.2440 b=3.2440 c=9.2924 alpha=90.00 beta=90.00 gamma=90.00
Atoms (fractional coordinates):
Cd1 0.0000 0.0000 0.0000
Te1 0.5000 0.5000 0.3147
Te2 0.5000 0.5000 0.6853
Rh1 0.0000 0.0000 0.5000

---

5.
Entry from Alexandria via LeMat-Bulk: crystalline Zn6Ag5 at its relaxed geometry (PBE).

## Properties
**Symmetry**: C2/m (12)
**D(E_F)**: 0.319 states/eV/atom
**Crystal system**: monoclinic
**DFT formation energy**: 0.994 eV/f.u.
**VASP energy**: -20.91 eV per formula unit

Unit cell a=6.0904 b=6.0904 c=6.1876 alpha=99.63 beta=99.63 gamma=118.59
Atoms (fractional coordinates):
Zn1 0.0381 0.2935 0.6850
Zn2 0.1597 0.1597 0.2063
Zn3 0.2935 0.0381 0.6850
Zn4 0.7065 0.9619 0.3150
Zn5 0.8403 0.8403 0.7937
Zn6 0.9619 0.7065 0.3150
Ag1 0.2309 0.7691 0.0000
Ag2 0.3586 0.6414 0.5000
Ag3 0.5000 0.5000 0.0000
Ag4 0.6414 0.3586 0.5000
Ag5 0.7691 0.2309 0.0000

---

6.
Entry from Alexandria via LeMat-Bulk: crystalline RbLi2Th2S6 at its relaxed geometry (PBE).

## Properties
**Symmetry**: P-1 (2)
**D(E_F)**: 0.578 states/eV/atom
**ΔE_f (raw)**: -142.7 kJ per mole of atoms
**Crystal system**: triclinic
**VASP energy**: -60.67 eV per formula unit

Unit cell a=6.8019 b=7.3622 c=7.4862 alpha=118.73 beta=103.69 gamma=90.71
Atoms (fractional coordinates):
Rb1 0.0000 0.0000 0.0000
Li1 0.4945 0.7553 0.4373
Li2 0.5055 0.2447 0.5627
Th1 0.0199 0.3344 0.6738
Th2 0.9801 0.6656 0.3262
S1 0.2359 0.6367 0.0791
S2 0.2421 0.4457 0.4675
S3 0.2649 0.0234 0.6287
S4 0.7351 0.9766 0.3713
S5 0.7579 0.5543 0.5325
S6 0.7641 0.3633 0.9209

---

7.
Entry from Alexandria via LeMat-Bulk: crystalline AlAg2P2 at its relaxed geometry (PBE).

## Properties
**Symmetry**: P4/mbm (127)
**D(E_F)**: 0.238 states/eV/atom
**Crystal system**: tetragonal
**DFT formation energy**: 0.175 eV/f.u.
**VASP energy**: -20.09 eV per formula unit

Unit cell a=6.0434 b=6.0434 c=5.0832 alpha=90.00 beta=90.00 gamma=90.00
Atoms (fractional coordinates):
Al1 0.0000 0.0000 0.0000
Al2 0.5000 0.5000 0.0000
Ag1 0.1803 0.3197 0.5000
Ag2 0.3197 0.8197 0.5000
Ag3 0.6803 0.1803 0.5000
Ag4 0.8197 0.6803 0.5000
P1 0.1277 0.3723 0.0000
P2 0.3723 0.8723 0.0000
P3 0.6277 0.1277 0.0000
P4 0.8723 0.6277 0.0000

---

8.
Entry from Alexandria via LeMat-Bulk: crystalline Zr2PS2 at its relaxed geometry (PBE).

## Properties
**Symmetry**: P4/mmm (123)
**D(E_F)**: 0.466 states/eV/atom
**ΔE_f (raw)**: 25.5 kJ per mole of atoms
**Crystal system**: tetragonal
**VASP energy**: -29.44 eV per formula unit

Unit cell a=2.8638 b=2.8638 c=14.5382 alpha=90.00 beta=90.00 gamma=90.00
Atoms (fractional coordinates):
Zr1 0.0000 0.0000 0.1785
Zr2 0.0000 0.0000 0.8215
P1 0.0000 0.0000 0.0000
S1 0.0000 0.0000 0.3521
S2 0.0000 0.0000 0.6479

---

9.
Entry from Alexandria via LeMat-Bulk: crystalline BaZrSeO2 at its relaxed geometry (PBE).

## Properties
**Symmetry**: P4mm (99)
**D(E_F)**: 0.000 states/eV/atom
**ΔE_f (raw)**: -255.3 kJ per mole of atoms
**Crystal system**: tetragonal
**VASP energy**: -37.10 eV per formula unit

Unit cell a=4.1048 b=4.1048 c=6.4694 alpha=90.00 beta=90.00 gamma=90.00
Atoms (fractional coordinates):
Ba1 0.0000 0.0000 0.0000
Zr1 0.5000 0.5000 0.3684
Se1 0.5000 0.5000 0.7659
O1 0.0000 0.5000 0.2804
O2 0.5000 0.0000 0.2804

---

10.
Entry from Alexandria via LeMat-Bulk: crystalline Sr2Ca2Cu at its relaxed geometry (PBE).

## Properties
**Symmetry**: C2/c (15)
**D(E_F)**: 0.899 states/eV/atom
**Crystal system**: monoclinic
**DFT formation energy**: 0.263 eV/f.u.
**VASP energy**: -11.20 eV per formula unit

Unit cell a=5.3666 b=5.3666 c=14.1033 alpha=100.74 beta=100.74 gamma=90.02
Atoms (fractional coordinates):
Sr1 0.0580 0.3082 0.1170
Sr2 0.3082 0.0580 0.6170
Sr3 0.6918 0.9420 0.3830
Sr4 0.9420 0.6918 0.8830
Ca1 0.1943 0.4440 0.3870
Ca2 0.4440 0.1943 0.8870
Ca3 0.5560 0.8057 0.1130
Ca4 0.8057 0.5560 0.6130
Cu1 0.1254 0.8746 0.2500
Cu2 0.8746 0.1254 0.7500